Entry 1:
# PBE-GGA AgPb8Au2, relaxed
# * crystal system: monoclinic
# * space-group type: C2/m
# * final energy: -38.86 eV for the cell shown
# * energy of formation from the pure elements: 1.9 kJ/mol of atoms
data_AgPb8Au2
_chemical_formula_sum 'Ag1 Pb8 Au2'
_cell_length_a 5.6610
_cell_length_b 7.8572
_cell_length_c 7.8572
_cell_angle_alpha 110.14
_cell_angle_beta 99.34
_cell_angle_gamma 99.34
_symmetry_space_group_name_H-M 'P 1'
_symmetry_Int_Tables_number 1
loop_
_symmetry_equiv_pos_as_xyz
'x,y,z'
loop_
_atom_site_label
_atom_site_fract_x
_atom_site_fract_y
_atom_site_fract_z
Pb1 0.5000 0.7659 0.2341
Pb2 0.1119 0.0739 0.3288
Pb3 0.6704 0.3525 0.3525
Au1 0.0000 0.6767 0.3233
Au2 0.0000 0.3233 0.6767
Pb4 0.5000 0.2341 0.7659
Pb5 0.3296 0.6475 0.6475
Ag1 0.5000 0.0000 0.0000
Pb6 0.1119 0.3288 0.0739
Pb7 0.8881 0.9261 0.6712
Pb8 0.8881 0.6712 0.9261

Entry 2:
# PBE-GGA Hf4PAu, relaxed
# * crystal system: monoclinic
# * space-group type: P2_1/c
# * final energy: -100.65 eV for the cell shown
# * energy of formation from the pure elements: -29.4 kJ/mol of atoms
data_Hf4PAu
_chemical_formula_sum 'Hf8 P2 Au2'
_cell_length_a 6.1464
_cell_length_b 6.1421
_cell_length_c 6.9119
_cell_angle_alpha 90.00
_cell_angle_beta 84.02
_cell_angle_gamma 90.00
_symmetry_space_group_name_H-M 'P 1'
_symmetry_Int_Tables_number 1
loop_
_symmetry_equiv_pos_as_xyz
'x,y,z'
loop_
_atom_site_label
_atom_site_fract_x
_atom_site_fract_y
_atom_site_fract_z
P1 0.5000 0.0000 0.5000
Hf1 0.6374 0.1222 0.8134
Hf2 0.3626 0.8778 0.1866
Hf3 0.1304 0.8609 0.6246
Au1 0.5000 0.5000 0.0000
Hf4 0.8696 0.1391 0.3754
Hf5 0.1374 0.3778 0.8134
Hf6 0.6304 0.6391 0.6246
Hf7 0.8626 0.6222 0.1866
Au2 0.0000 0.0000 0.0000
Hf8 0.3696 0.3609 0.3754
P2 0.0000 0.5000 0.5000

Entry 3:
# PBE-GGA Nd2CoSi3, relaxed
# * crystal system: orthorhombic
# * space-group type: Fmmm
# * final energy: -74.60 eV for the cell shown
# * E_form (uncorrected): -0.732 eV per atom
data_Nd2CoSi3
_chemical_formula_sum 'Nd4 Co2 Si6'
_cell_length_a 5.8586
_cell_length_b 5.8586
_cell_length_c 8.1771
_cell_angle_alpha 111.90
_cell_angle_beta 111.90
_cell_angle_gamma 87.65
_symmetry_space_group_name_H-M 'P 1'
_symmetry_Int_Tables_number 1
loop_
_symmetry_equiv_pos_as_xyz
'x,y,z'
loop_
_atom_site_label
_atom_site_fract_x
_atom_site_fract_y
_atom_site_fract_z
Co1 0.6663 0.6663 0.3326
Nd1 0.2502 0.2502 0.0000
Si1 0.1718 0.6560 0.8278
Nd2 0.7498 0.7498 0.0000
Nd3 0.7500 0.2500 0.5000
Si2 0.1719 0.1719 0.3438
Si3 0.6560 0.1718 0.8278
Co2 0.3337 0.3337 0.6674
Nd4 0.2500 0.7500 0.5000
Si4 0.8282 0.3440 0.1722
Si5 0.8281 0.8281 0.6562
Si6 0.3440 0.8282 0.1722